Below is crystalline TaBeHgIr at its relaxed geometry, with properties calculated at the PBE level.

abc: 4.4422 4.4422 4.4422
angles: 60.00 60.00 60.00
Fractional positions:
Be 0.7500 0.7500 0.7500
Hg 0.2500 0.2500 0.2500
Ir 0.0000 0.0000 0.0000
Ta 0.5000 0.5000 0.5000

Output
Energy above the most stable polymorph in this dataset in meV per atom: 246
Volume in A^3/atom: 15.50



Below is crystalline Rb2Cd at its relaxed geometry, with properties calculated at the PBE level.

abc: 7.8330 7.8330 7.8330
angles: 60.00 60.00 60.00
Fractional positions:
Cd 0.0000 0.0000 0.0000
Cd 0.2500 0.2500 0.2500
Rb 0.6250 0.6250 0.1250
Rb 0.6250 0.1250 0.6250
Rb 0.1250 0.6250 0.6250
Rb 0.6250 0.6250 0.6250

Output
VASP energy in eV/atom: -0.6599
Volume in A^3/atom: 56.64



Below is crystalline LaPuB at its relaxed geometry, with properties calculated at the PBE level.

abc: 4.5689 4.5689 4.5689
angles: 60.00 60.00 60.00
Fractional positions:
B 0.0000 0.0000 0.0000
La 0.2500 0.2500 0.2500
Pu 0.7500 0.7500 0.7500

Output
Energy above the most stable polymorph in this dataset in meV per atom: 0
Volume in A^3/atom: 22.48



Below is crystalline CoSi3P3 at its relaxed geometry, with properties calculated at the PBE level.

abc: 5.9068 5.7044 12.7602
angles: 90.00 89.89 90.00
Fractional positions:
Co 0.0056 0.4648 0.1215
Co 0.5179 0.0325 0.3861
Co 0.4821 0.5325 0.6139
Co 0.9944 0.9648 0.8785
P 0.4382 0.0165 0.0726
P 0.9744 0.0915 0.1738
P 0.6534 0.5412 0.1796
P 0.1310 0.5753 0.2796
P 0.8745 0.1062 0.4263
P 0.5850 0.6633 0.4510
P 0.4150 0.1633 0.5490
P 0.1255 0.6062 0.5737
P 0.8690 0.0753 0.7204
P 0.3466 0.0412 0.8204
P 0.0256 0.5915 0.8262
P 0.5618 0.5165 0.9274
Si 0.0786 0.8324 0.0454
Si 0.3605 0.4154 0.0726
Si 0.6272 0.9348 0.2234
Si 0.1727 0.9702 0.3197
Si 0.4722 0.4013 0.3283
Si 0.9360 0.5015 0.4275
Si 0.0640 0.0015 0.5725
Si 0.5278 0.9013 0.6717
Si 0.8273 0.4702 0.6803
Si 0.3728 0.4348 0.7766
Si 0.6395 0.9154 0.9274
Si 0.9214 0.3324 0.9546

Output
VASP energy in eV/atom: -5.9755
Volume in A^3/atom: 15.36



Below is crystalline LiScAlPd at its relaxed geometry, with properties calculated at the PBE level.

abc: 4.4998 4.4998 6.3644
angles: 90.00 90.00 90.00
Fractional positions:
Al 0.5000 0.0000 0.2495
Al 0.0000 0.5000 0.7505
Li 0.0000 0.0000 0.0000
Li 0.5000 0.5000 0.5000
Pd 0.5000 0.5000 0.0000
Pd 0.0000 0.0000 0.5000
Sc 0.0000 0.5000 0.2495
Sc 0.5000 0.0000 0.7505

Output
VASP energy in eV/atom: -4.9477
Volume in A^3/atom: 16.11



Below is crystalline La3DyEr2CoTe2 at its relaxed geometry, with properties calculated at the PBE level.

abc: 4.0887 8.5248 8.5248
angles: 120.10 90.00 90.00
Fractional positions:
Co 0.0000 0.0033 0.0033
Dy 0.5000 0.7725 0.7725
Er 0.5000 0.9998 0.2264
Er 0.5000 0.2264 0.9998
La 0.0000 0.5974 0.0000
La 0.0000 0.4014 0.4014
La 0.0000 0.0000 0.5974
Te 0.5000 0.6665 0.3327
Te 0.5000 0.3327 0.6665

Output
VASP energy in eV/atom: -5.3849
Volume in A^3/atom: 28.56



Below is crystalline Fe3CoB4 at its relaxed geometry, with properties calculated at the PBE level.

abc: 3.9649 2.9735 5.3689
angles: 90.00 90.40 90.00
Fractional positions:
B 0.6210 0.5000 0.0404
B 0.1178 0.0000 0.4631
B 0.8758 0.5000 0.5284
B 0.3840 0.0000 0.9692
Co 0.6210 0.0000 0.3242
Fe 0.1237 0.5000 0.1751
Fe 0.3777 0.5000 0.6801
Fe 0.8790 0.0000 0.8195

Output
VASP energy in eV/atom: -7.7122
Volume in A^3/atom: 7.91



Below is crystalline KHoSe2O8 at its relaxed geometry, with properties calculated at the PBE level.

abc: 5.6256 5.6256 7.2462
angles: 90.00 90.00 120.00
Fractional positions:
Ho 0.0000 0.0000 0.0000
K 0.0000 0.0000 0.5000
O 0.1740 0.3481 0.1918
O 0.1740 0.8260 0.1918
O 0.6519 0.8260 0.1918
O 0.6667 0.3333 0.4984
O 0.3333 0.6667 0.5016
O 0.3481 0.1740 0.8082
O 0.8260 0.1740 0.8082
O 0.8260 0.6519 0.8082
Se 0.3333 0.6667 0.2756
Se 0.6667 0.3333 0.7244

Output
VASP energy in eV/atom: -5.8846
Volume in A^3/atom: 16.55



Below is crystalline RbU2S6 at its relaxed geometry, with properties calculated at the PBE level.

abc: 11.1920 11.1920 11.1920
angles: 160.10 153.20 33.61
Fractional positions:
Rb 0.0000 0.0000 0.0000
S 0.2274 0.2274 0.0000
S 0.7726 0.7726 0.0000
S 0.6389 0.3863 0.2526
S 0.8663 0.6137 0.2526
S 0.1337 0.3863 0.7474
S 0.3611 0.6137 0.7474
U 0.6822 0.1822 0.5000
U 0.3178 0.8178 0.5000

Output
VASP energy in eV/atom: -6.5592
Volume in A^3/atom: 23.89



Below is crystalline Dy4Ga3Ge at its relaxed geometry, with properties calculated at the PBE level.

abc: 4.0130 4.3483 10.8352
angles: 90.00 90.00 90.00
Fractional positions:
Dy 0.0000 0.0000 0.1389
Dy 0.5000 0.5000 0.3601
Dy 0.0000 0.5000 0.6398
Dy 0.5000 0.0000 0.8609
Ga 0.5000 0.5000 0.0776
Ga 0.0000 0.0000 0.4231
Ga 0.5000 0.0000 0.5791
Ge 0.0000 0.5000 0.9205

Output
VASP energy in eV/atom: -4.7253
Volume in A^3/atom: 23.63



Below is crystalline LiTbFeS3 at its relaxed geometry, with properties calculated at the PBE level.

abc: 12.9963 3.7850 10.7099
angles: 90.00 90.00 90.00
Fractional positions:
Fe 0.9798 0.7500 0.0821
Fe 0.4798 0.7500 0.4179
Fe 0.5202 0.2500 0.5821
Fe 0.0202 0.2500 0.9179
Li 0.7218 0.2500 0.1775
Li 0.2218 0.2500 0.3225
Li 0.7782 0.7500 0.6775
Li 0.2782 0.7500 0.8225
S 0.6054 0.7500 0.0817
S 0.0827 0.2500 0.1206
S 0.8484 0.7500 0.2292
S 0.3484 0.7500 0.2708
S 0.5827 0.2500 0.3794
S 0.1054 0.7500 0.4183
S 0.8946 0.2500 0.5817
S 0.4173 0.7500 0.6206
S 0.6516 0.2500 0.7292
S 0.1516 0.2500 0.7708
S 0.9173 0.7500 0.8794
S 0.3946 0.2500 0.9183
Tb 0.4659 0.2500 0.1553
Tb 0.9659 0.2500 0.3447
Tb 0.0341 0.7500 0.6553
Tb 0.5341 0.7500 0.8447

Output
Energy above the most stable polymorph in this dataset in meV per atom: 11
Volume in A^3/atom: 21.95



Below is crystalline CsRbPAu at its relaxed geometry, with properties calculated at the PBE level.

abc: 6.8292 6.5575 6.5575
angles: 70.79 90.00 90.00
Fractional positions:
Au 0.0000 0.4970 0.4970
Au 0.5000 0.4970 0.4970
Cs 0.2500 0.3187 0.0234
Cs 0.7500 0.0234 0.3187
P 0.2500 0.7306 0.2789
P 0.7500 0.2789 0.7306
Rb 0.2500 0.9766 0.6778
Rb 0.7500 0.6778 0.9766

Output
Energy above the most stable polymorph in this dataset in meV per atom: 1
Volume in A^3/atom: 34.66



Which of these has the lowest volume?
Fe3CoB4